## CsTa2AlAu (PBE)

Data for a relaxed CsTa2AlAu crystal.

Values from the calculation:
SG: No. 123
Volume, Å³ per atom: 26.83
ρ, g/cm3: 8.9
Calculated formation energy, eV per formula unit: 15.0
M_tot, μB per atom: 0.000
Crystal system: tetragonal

abc: 5.0841 5.1895 5.0841
angles: 90.00 90.00 90.00
Last column: nearest neighbours and their distance in Å.
Fractional coordinates of all 5 atoms:
Cs 0.0000 0.0000 0.0000  4 Ta 2.54, 2 Al 2.59
Au 0.5000 0.5000 0.5000  4 Al 3.59, 8 Ta 3.63
Al 0.0000 0.5000 0.0000  2 Cs 2.59
Ta 0.0000 0.0000 0.5000  2 Cs 2.54
Ta 0.5000 0.0000 0.0000  2 Cs 2.54



## CsAlTlAu2 (PBE)

Data for a relaxed CsAlTlAu2 crystal.

Values from the calculation:
SG: No. 123
Volume, Å³ per atom: 29.94
ρ, g/cm3: 8.4
Calculated formation energy, eV per formula unit: -0.4
M_tot, μB per atom: 0.000
Crystal system: tetragonal

abc: 5.2245 5.2245 5.4845
angles: 90.00 90.00 90.00
Last column: nearest neighbours and their distance in Å.
Fractional coordinates of all 5 atoms:
Cs 0.5000 0.5000 0.5000  4 Tl 3.69, 8 Au 3.79
Tl 0.0000 0.0000 0.5000  2 Al 2.74
Au 0.0000 0.5000 0.0000  2 Al 2.61
Au 0.5000 0.0000 0.0000  2 Al 2.61
Al 0.0000 0.0000 0.0000  4 Au 2.61, 2 Tl 2.74



## AlCuAu4 (PBE)

Data for a relaxed AlCuAu4 crystal.

Values from the calculation:
SG: No. 9
Volume, Å³ per atom: 16.75
ρ, g/cm3: 14.5
Calculated formation energy, eV per formula unit: -0.8
M_tot, μB per atom: 0.000
Crystal system: monoclinic

abc: 8.9515 8.9501 5.2969
angles: 114.31 114.32 120.85
Last column: nearest neighbours and their distance in Å.
Fractional coordinates of all 12 atoms:
Al 0.7483 0.7482 0.9968  6 Au 2.64-2.68, 2 Cu 2.92
Al 0.5015 0.0014 0.5032  6 Au 2.64-2.68, 2 Cu 2.92
Cu 0.2473 0.2475 0.9959  6 Au 2.70-2.71, 2 Al 2.92
Cu 0.0014 0.5016 0.5041  6 Au 2.70-2.71, 2 Al 2.92
Au 0.3099 0.9732 0.7759  1 Al 2.64, 2 Cu 2.70, 4 Au 2.89-2.95
Au 0.7960 0.4638 0.7663  2 Al 2.66-2.67, 1 Cu 2.70, 6 Au 2.89-2.95
Au 0.7225 0.5592 0.2750  1 Al 2.65, 2 Cu 2.70-2.71, 4 Au 2.89-2.95
Au 0.2136 0.0457 0.2652  2 Al 2.66-2.68, 1 Cu 2.70, 6 Au 2.89-2.95
Au 0.2840 0.4473 0.7241  1 Al 2.64, 2 Cu 2.70, 4 Au 2.89-2.95
Au 0.7797 0.9475 0.7337  2 Al 2.66-2.67, 1 Cu 2.70, 6 Au 2.89-2.95
Au 0.6983 0.0304 0.2348  2 Al 2.66-2.68, 1 Cu 2.70, 6 Au 2.89-2.95
Au 0.1975 0.5342 0.2250  1 Al 2.65, 2 Cu 2.70-2.71, 4 Au 2.89-2.95



## Al2Cu2Au7 (PBE)

Data for a relaxed Al2Cu2Au7 crystal.

Values from the calculation:
SG: No. 12
Volume, Å³ per atom: 16.89
ρ, g/cm3: 13.9
Calculated formation energy, eV per formula unit: -1.7
M_tot, μB per atom: 0.000
Crystal system: monoclinic

abc: 4.2436 6.9619 6.9619
angles: 79.28 72.38 72.38
Last column: nearest neighbours and their distance in Å.
Fractional coordinates of all 11 atoms:
Al 0.6737 0.8251 0.8251  6 Au 2.59-2.76, 2 Cu 2.61
Al 0.3263 0.1749 0.1749  6 Au 2.59-2.76, 2 Cu 2.61
Cu 0.5000 0.7794 0.2206  2 Al 2.61, 8 Au 2.66-2.89
Cu 0.5000 0.2206 0.7794  2 Al 2.61, 8 Au 2.66-2.89
Au 0.1544 0.1235 0.5673  1 Al 2.59, 2 Cu 2.66-2.67, 4 Au 2.87-2.90
Au 0.8456 0.4327 0.8765  1 Al 2.59, 2 Cu 2.66-2.67, 4 Au 2.87-2.90
Au 0.8456 0.8765 0.4327  1 Al 2.59, 2 Cu 2.66-2.67, 4 Au 2.87-2.90
Au 0.1544 0.5673 0.1235  1 Al 2.59, 2 Cu 2.66-2.67, 4 Au 2.87-2.90
Au 0.0000 0.0000 0.0000  4 Al 2.73, 4 Cu 2.89, 4 Au 2.90
Au 0.6466 0.3527 0.3527  2 Al 2.74-2.76, 2 Cu 2.88, 5 Au 2.90-2.91
Au 0.3534 0.6473 0.6473  2 Al 2.74-2.76, 2 Cu 2.88, 5 Au 2.90-2.91



Number 3 is which compound?
AlCuAu4



What is the calculated formation energy in the first record?
15.0 eV per formula unit